A relaxed CsK5Zn4Sn5S17 crystal. Source: the Open Quantum Materials Database, functional PBE.

a = 9.6478 Å, b = 10.9696 Å, c = 10.9696 Å
α = 101.15°, β = 63.91°, γ = 116.09°
With the nearest neighbours (Å) after each atom.
Fractional coordinates of all 32 atoms:
Cs1 0.5000 0.0000 0.0000  8 S 3.82-3.96
K1 0.4892 0.5000 0.0217  6 S 3.18-3.39
K2 0.0108 0.0217 0.5000  6 S 3.18-3.39
K3 0.7500 0.5000 0.5000  8 S 3.46
K4 0.4892 0.9783 0.5000  6 S 3.18-3.39
K5 0.0108 0.5000 0.9783  6 S 3.18-3.39
S1 0.8544 0.1428 0.1428  2 Sn 2.44-2.49
S2 0.0028 0.8572 0.1428  2 Sn 2.44-2.49
S3 0.2603 0.2180 0.2180  1 Zn 2.36, 1 Sn 2.40
S4 0.5217 0.7820 0.2180  1 Zn 2.36, 1 Sn 2.40
S5 0.1105 0.5065 0.2207  1 Zn 2.35, 1 Sn 2.40
S6 0.6688 0.4935 0.2207  1 Zn 2.35, 1 Sn 2.40
S7 0.3960 0.2207 0.4935  1 Zn 2.35, 1 Sn 2.40
S8 0.1105 0.7793 0.4935  1 Zn 2.35, 1 Sn 2.40
S9 0.2500 0.5000 0.5000  4 Zn 2.35
S10 0.8248 0.2207 0.5065  1 Zn 2.35, 1 Sn 2.40
S11 0.6688 0.7793 0.5065  1 Zn 2.35, 1 Sn 2.40
S12 0.8248 0.4935 0.7793  1 Zn 2.35, 1 Sn 2.40
S13 0.3960 0.5065 0.7793  1 Zn 2.35, 1 Sn 2.40
S14 0.9577 0.2180 0.7820  1 Zn 2.36, 1 Sn 2.40
S15 0.2603 0.7820 0.7820  1 Zn 2.36, 1 Sn 2.40
S16 0.2884 0.1428 0.8572  2 Sn 2.44-2.49
S17 0.8544 0.8572 0.8572  2 Sn 2.44-2.49
Sn1 0.0000 0.0000 0.0000  4 S 2.44
Sn2 0.0257 0.2761 0.2761  4 S 2.40-2.49
Sn3 0.6981 0.7239 0.2761  4 S 2.40-2.49
Sn4 0.0257 0.7239 0.7239  4 S 2.40-2.49
Sn5 0.2504 0.2761 0.7239  4 S 2.40-2.49
Zn1 0.3891 0.3616 0.3616  4 S 2.35-2.36
Zn2 0.2493 0.6384 0.3616  4 S 2.35-2.36
Zn3 0.9725 0.3616 0.6384  4 S 2.35-2.36
Zn4 0.3891 0.6384 0.6384  4 S 2.35-2.36

## Properties
SG: I-4m2 (119)


A relaxed NaCoPb crystal. Source: the Open Quantum Materials Database, functional PBE.

a = 4.6923 Å, b = 4.6923 Å, c = 4.6923 Å
α = 60.00°, β = 60.00°, γ = 60.00°
With the nearest neighbours (Å) after each atom.
Fractional coordinates of all 3 atoms:
Co1 0.2500 0.2500 0.2500  4 Na 2.87
Na1 0.0000 0.0000 0.0000  4 Pb 2.87, 4 Co 2.87
Pb1 0.7500 0.7500 0.7500  4 Na 2.87

## Properties
SG: F-43m (216)


A relaxed PaCoRe crystal. Source: the Open Quantum Materials Database, functional PBE.

a = 4.2977 Å, b = 4.2977 Å, c = 4.2977 Å
α = 60.00°, β = 60.00°, γ = 60.00°
With the nearest neighbours (Å) after each atom.
Fractional coordinates of all 3 atoms:
Co1 0.0000 0.0000 0.0000  4 Re 2.63, 4 Pa 2.63
Pa1 0.2500 0.2500 0.2500  4 Co 2.63
Re1 0.7500 0.7500 0.7500  4 Co 2.63

## Properties
Offset from the most stable computed form (meV/atom): 0
Formation energy from the elements (kJ/mol of atoms): 29.14
SG: F-43m (216)


A relaxed NbInNiPt crystal. Source: the Open Quantum Materials Database, functional PBE.

a = 4.5311 Å, b = 4.5311 Å, c = 4.5311 Å
α = 60.00°, β = 60.00°, γ = 60.00°
With the nearest neighbours (Å) after each atom.
Fractional coordinates of all 4 atoms:
In1 0.0000 0.0000 0.0000  4 Ni 2.77, 4 Pt 2.77
Nb1 0.5000 0.5000 0.5000  4 Pt 2.77, 4 Ni 2.77
Ni1 0.7500 0.7500 0.7500  4 In 2.77, 4 Nb 2.77
Pt1 0.2500 0.2500 0.2500  4 Nb 2.77, 4 In 2.77

## Properties
Offset from the most stable computed form (meV/atom): 0
SG: F-43m (216)


A relaxed InFePtAu crystal. Source: the Open Quantum Materials Database, functional PBE.

a = 4.5608 Å, b = 4.5608 Å, c = 4.5608 Å
α = 60.00°, β = 60.00°, γ = 60.00°
With the nearest neighbours (Å) after each atom.
Fractional coordinates of all 4 atoms:
Au1 0.5000 0.5000 0.5000  4 Pt 2.79, 4 Fe 2.79
Fe1 0.7500 0.7500 0.7500  4 Au 2.79, 4 In 2.79
In1 0.0000 0.0000 0.0000  4 Pt 2.79, 4 Fe 2.79
Pt1 0.2500 0.2500 0.2500  4 Au 2.79, 4 In 2.79

## Properties
Offset from the most stable computed form (meV/atom): 0
SG: F-43m (216)


A relaxed RbTbInSe3 crystal. Source: the Open Quantum Materials Database, functional PBE.

a = 8.2784 Å, b = 8.2784 Å, c = 11.7288 Å
α = 90.00°, β = 90.00°, γ = 150.23°
With the nearest neighbours (Å) after each atom.
Fractional coordinates of all 12 atoms:
In1 0.0815 0.9185 0.2500  4 Se 2.76-2.79
In2 0.9185 0.0815 0.7500  4 Se 2.76-2.79
Rb1 0.7829 0.2171 0.2500  4 Se 3.52-3.66, 2 In 3.86
Rb2 0.2171 0.7829 0.7500  4 Se 3.52-3.66, 2 In 3.86
Se1 0.1222 0.8778 0.0209  1 In 2.76, 2 Tb 2.90
Se2 0.4689 0.5311 0.2500  2 In 2.79, 2 Tb 2.97
Se3 0.1222 0.8778 0.4791  1 In 2.76, 2 Tb 2.90
Se4 0.8778 0.1222 0.5209  1 In 2.76, 2 Tb 2.90
Se5 0.5311 0.4689 0.7500  2 In 2.79, 2 Tb 2.97
Se6 0.8778 0.1222 0.9791  1 In 2.76, 2 Tb 2.90
Tb1 0.5000 0.5000 0.0000  6 Se 2.90-2.97
Tb2 0.5000 0.5000 0.5000  6 Se 2.90-2.97

## Properties
SG: Cmcm (63)


no.,calculated volume (Å³ per cell),total DFT energy (no corrections) (eV per atom)
1,936.4,-4.002
2,73.1,-3.042
3,56.1,-9.373
4,65.8,-6.396
5,67.1,-5.107
6,399.1,-4.301